[1]
Material: DyEr12Sc3
Method: DFT, GGA-PBE
State: relaxed

Summary:
mass density: 8146 kg/m3
SG: P4/mmm
E_form: 0.038 eV/atom

Unit cell a=4.8996 b=4.8996 c=19.5690 alpha=90.00 beta=90.00 gamma=90.00
Fractional coordinates of all 16 atoms:
Dy: 0.0000 0.0000 0.0000
Er: 0.5000 0.5000 0.0000
Er: 0.5000 0.5000 0.2529
Er: 0.5000 0.5000 0.5000
Er: 0.5000 0.5000 0.7471
Er: 0.5000 0.0000 0.1285
Er: 0.5000 0.0000 0.3763
Er: 0.5000 0.0000 0.6237
Er: 0.5000 0.0000 0.8715
Er: 0.0000 0.5000 0.1285
Er: 0.0000 0.5000 0.3763
Er: 0.0000 0.5000 0.6237
Er: 0.0000 0.5000 0.8715
Sc: 0.0000 0.0000 0.2522
Sc: 0.0000 0.0000 0.5000
Sc: 0.0000 0.0000 0.7478

***

[2]
Material: AcRh2Pb
Method: DFT, GGA-PBE
State: relaxed

Summary:
mass density: 9448 kg/m3
SG: Pmma
E_form: 0.006 eV/atom

Unit cell a=8.0317 b=6.8806 c=8.1422 alpha=90.00 beta=90.00 gamma=90.00
Fractional coordinates of all 16 atoms:
Ac: 0.0000 0.2500 0.7098
Ac: 0.5000 0.7500 0.2075
Ac: 0.0000 0.7500 0.2902
Ac: 0.5000 0.2500 0.7925
Rh: 0.0000 0.0000 0.0000
Rh: 0.5000 0.5000 0.5000
Rh: 0.2498 0.7500 0.9751
Rh: 0.7502 0.2500 0.0249
Rh: 0.7502 0.7500 0.9751
Rh: 0.2498 0.2500 0.0249
Rh: 0.0000 0.5000 0.0000
Rh: 0.5000 0.0000 0.5000
Pb: 0.5000 0.7500 0.7501
Pb: 0.5000 0.2500 0.2499
Pb: 0.0000 0.2500 0.2746
Pb: 0.0000 0.7500 0.7254

***

[3]
Material: ZrPbW2
Method: DFT, GGA-PBE
State: relaxed

Summary:
mass density: 14405 kg/m3
SG: I-4m2
E_form: 0.551 eV/atom

Unit cell a=5.0188 b=5.0188 c=5.0188 alpha=127.71 beta=127.71 gamma=77.09
Fractional coordinates of all 4 atoms:
Pb: 0.7500 0.2500 0.5000
W: 0.0000 0.0000 0.0000
W: 0.2500 0.7500 0.5000
Zr: 0.5000 0.5000 0.0000